# Na2IrAuBr | the Alexandria database | PBE | optimized geometry
# Uncorrected energy = -2.969 eV/atom
# Total moment = 0.000 μB per atom
# E_form (uncorrected) = 0.3206 eV per atom
data_Na2IrAuBr
_symmetry_space_group_name_H-M 'P 1'
_symmetry_Int_Tables_number 1
_symmetry_space_group_name_Hall 'P 1'
_cell_length_a 5.754
_cell_length_b 5.754
_cell_length_c 4.559
_cell_angle_alpha 90.00
_cell_angle_beta 90.00
_cell_angle_gamma 90.00
loop_
_atom_site_label
_atom_site_fract_x
_atom_site_fract_y
_atom_site_fract_z
Br1 0.000 0.000 0.500
Ir1 0.000 0.000 0.000
Na1 0.000 0.500 0.000
Na2 0.500 0.000 0.000
Au1 0.500 0.500 0.500